Version 1
A relaxed structure of Tb5Nd4Ho, computed with PBE.

a b c (Å): 18.1278 3.5967 10.9026
angles (deg): 90.00 102.48 90.00
Space group C2/m (No. 12)
One atom of each set of equivalent atoms:
Tb (0.0000, 0.0000, 0.0000) [2 per cell]
Tb (0.1625, 0.5000, 0.4159) [4 per cell]
Tb (0.1682, 0.5000, 0.0256) [4 per cell]
Nd (0.0215, 0.5000, 0.7611) [4 per cell]
Nd (0.1771, 0.0000, 0.7240) [4 per cell]
Ho (0.0000, 0.0000, 0.5000) [2 per cell]

- V (Å³/atom) = 34.7
- DOS at the Fermi energy (states/eV/f.u.) = 13.89
- magnetization (Bohr magnetons per cell) = 0.0

Version 2
A relaxed structure of Tb5Nd4Ho, computed with PBE.

a b c (Å): 10.6737 10.6737 6.0209
angles (deg): 90.00 90.00 90.00
Space group I4mm (No. 107)
One atom of each set of equivalent atoms:
Tb (0.0000, 0.0000, 0.0000) [2 per cell]
Tb (0.1885, 0.1885, 0.7351) [8 per cell]
Nd (0.0000, 0.3235, 0.2438) [8 per cell]
Ho (0.0000, 0.0000, 0.4737) [2 per cell]

- V (Å³/atom) = 34.3
- DOS at the Fermi energy (states/eV/f.u.) = 13.33
- magnetization (Bohr magnetons per cell) = 0.0

version 1 ends up most stable, edging out the next structure by 1.2 kJ/mol of atoms.

Version 1
A relaxed structure of TbNd2Ho8, computed with PBE.

a b c (Å): 9.0260 16.0257 5.8883
angles (deg): 90.00 122.95 90.00
Space group C2/m (No. 12)
One atom of each set of equivalent atoms:
Tb (0.0000, 0.0000, 0.0000) [2 per cell]
Nd (0.0000, 0.3066, 0.5000) [4 per cell]
Ho (0.0000, 0.2075, 0.0000) [4 per cell]
Ho (0.0721, 0.5000, 0.7963) [4 per cell]
Ho (0.2141, 0.1158, 0.6732) [8 per cell]

- V (Å³/atom) = 32.5
- DOS at the Fermi energy (states/eV/f.u.) = 14.86
- magnetization (Bohr magnetons per cell) = 0.0

Version 2
A relaxed structure of TbNd2Ho8, computed with PBE.

a b c (Å): 16.5224 6.6135 6.6571
angles (deg): 90.00 100.07 90.00
Space group C2/m (No. 12)
One atom of each set of equivalent atoms:
Tb (0.0000, 0.0000, 0.0000) [2 per cell]
Nd (0.2450, 0.0000, 0.3102) [4 per cell]
Ho (0.0867, 0.2611, 0.4012) [8 per cell]
Ho (0.0886, 0.5000, 0.9058) [4 per cell]
Ho (0.1995, 0.0000, 0.8014) [4 per cell]

- V (Å³/atom) = 32.6
- DOS at the Fermi energy (states/eV/f.u.) = 16.99
- magnetization (Bohr magnetons per cell) = 0.0

version 1 ends up most stable, edging out the next structure by 1.3 kJ/mol of atoms.

Version 1
A relaxed structure of Tb5Nd3Ho, computed with PBE.

a b c (Å): 15.3426 11.4621 9.9724
angles (deg): 90.00 130.20 90.00
Space group C2/m (No. 12)
One atom of each set of equivalent atoms:
Tb (0.0000, 0.2445, 0.0000) [4 per cell]
Tb (0.1565, 0.2489, 0.7485) [8 per cell]
Tb (0.2212, 0.0000, 0.2271) [4 per cell]
Tb (0.2231, 0.5000, 0.0400) [4 per cell]
Nd (0.0000, 0.0000, 0.5000) [2 per cell]
Nd (0.0000, 0.5000, 0.0000) [2 per cell]
Nd (0.0074, 0.0000, 0.8120) [4 per cell]
Nd (0.0204, 0.5000, 0.3584) [4 per cell]
Ho (0.2476, 0.5000, 0.4009) [4 per cell]

- V (Å³/atom) = 37.2
- DOS at the Fermi energy (states/eV/f.u.) = 12.88
- magnetization (Bohr magnetons per cell) = 0.0

Version 2
A relaxed structure of Tb5Nd3Ho, computed with PBE.

a b c (Å): 20.2135 6.1905 11.6193
angles (deg): 90.00 122.37 90.00
Space group C2/c (No. 15)
One atom of each set of equivalent atoms:
Tb (0.0000, 0.0645, 0.2500) [4 per cell]
Tb (0.1388, 0.1814, 0.6454) [8 per cell]
Tb (0.1781, 0.3006, 0.3348) [8 per cell]
Nd (0.0000, 0.5000, 0.0000) [4 per cell]
Nd (0.1805, 0.2787, 0.0328) [8 per cell]
Ho (0.0000, 0.4257, 0.7500) [4 per cell]

- V (Å³/atom) = 34.1
- DOS at the Fermi energy (states/eV/f.u.) = 11.25
- magnetization (Bohr magnetons per cell) = 0.0

version 2 ends up most stable, edging out the next structure by 21.3 kJ/mol of atoms.

Version 1
A relaxed structure of Tb2Nd6Ho, computed with PBE.

a b c (Å): 8.2852 8.2852 10.5308
angles (deg): 90.00 90.00 90.00
Space group P4_2/mnm (No. 136)
One atom of each set of equivalent atoms:
Tb (0.0000, 0.0000, 0.1677) [4 per cell]
Nd (0.2387, 0.2387, 0.0000) [4 per cell]
Nd (0.2388, 0.2388, 0.3332) [8 per cell]
Ho (0.0000, 0.0000, 0.5000) [2 per cell]

- V (Å³/atom) = 40.2
- DOS at the Fermi energy (states/eV/f.u.) = 15.19
- magnetization (Bohr magnetons per cell) = 0.0

Version 2
A relaxed structure of Tb2Nd6Ho, computed with PBE.

a b c (Å): 9.4534 17.7941 3.6672
angles (deg): 90.00 90.00 90.00
Space group Cmmm (No. 65)
One atom of each set of equivalent atoms:
Tb (0.0000, 0.1763, 0.0000) [4 per cell]
Nd (0.1754, 0.3350, 0.5000) [8 per cell]
Nd (0.1843, 0.5000, 0.0000) [4 per cell]
Ho (0.0000, 0.0000, 0.5000) [2 per cell]

- V (Å³/atom) = 34.3
- DOS at the Fermi energy (states/eV/f.u.) = 12.35
- magnetization (Bohr magnetons per cell) = 0.0

version 2 ends up most stable, edging out the next structure by 46.5 kJ/mol of atoms.